This record from Alexandria via LeMat-Bulk describes an optimized crystal structure of AcSm2Y5Ho. The functional is PBE.

```
data_AcSm2Y5Ho
_chemical_formula_sum 'Ac4 Sm8 Y20 Ho4'
_cell_length_a 8.8016
_cell_length_b 8.8016
_cell_length_c 15.7867
_cell_angle_alpha 90.00
_cell_angle_beta 90.00
_cell_angle_gamma 90.00
_space_group_name_H-M_alt 'I 4/m c m'
_space_group_IT_number 140
_space_group_name_Hall '-I 4 2c'
loop_
_atom_site_label
_atom_site_type_symbol
_atom_site_fract_x
_atom_site_fract_y
_atom_site_fract_z
_atom_site_occupancy
Ac1 Ac 0.0000 0.5000 0.2500 1
Sm1 Sm 0.1151 0.3849 0.0000 1
Y1 Y 0.0000 0.0000 0.0000 1
Y2 Y 0.2108 0.2892 0.3671 1
Ho1 Ho 0.0000 0.0000 0.2500 1
```

- ΔE_f (eV/atom) = 0.27
- energy (eV for the cell shown) = -192.01